## Tm2Cd (PBE)

Data for a relaxed Tm2Cd crystal.

The structure belongs to space group I4_1/amd (No. 141, origin choice 2); the cell edges are 3.4060, 3.4060 and 29.0231 Å and the angles 90.00°, 90.00° and 90.00°. The asymmetric unit holds Tm at (0.0000, 0.2500, 0.3021) and Cd at (0.0000, 0.2500, 0.8750).

As for the total energy: -3.285 eV per atom. Its crystal system is tetragonal.